An optimized crystal structure of NiRhPb. Source: the Alexandria database, functional GGA-PBE.

a b c (Å): 4.3074 4.3074 3.1056
angles (deg): 90.00 90.00 120.00
With the nearest neighbours (Å) after each atom.
Fractional positions:
Ni: 0.0000 0.0000 0.0229  3 Pb 2.62, 3 Rh 2.69-2.70
Rh: 0.3333 0.6667 0.6886  3 Ni 2.69-2.70, 3 Pb 2.78
Pb: 0.6667 0.3333 0.2885  3 Ni 2.62, 3 Rh 2.78

The electronic total energy is -16.19 eV for the cell shown. For the size of the total moment, the calculation gives 0.000 μB/atom. As for the energy of formation: 0.22 eV/atom.

***

An optimized crystal structure of CdAg2Rh. Source: the Alexandria database, functional GGA-PBE.

a b c (Å): 3.9021 3.9021 10.3410
angles (deg): 79.12 79.12 90.00
With the nearest neighbours (Å) after each atom.
Fractional positions:
Ag: 0.1296 0.6250 0.2500  4 Ag 2.73-2.78, 2 Rh 2.84, 2 Cd 2.85
Rh: 0.2500 0.7500 0.5000  4 Cd 2.76, 4 Ag 2.84
Rh: 0.5000 0.5000 0.0000  4 Cd 2.76, 4 Ag 2.84
Cd: 0.7500 0.2500 0.5000  4 Rh 2.76, 4 Ag 2.85
Cd: 0.0000 0.0000 0.0000  4 Rh 2.76, 4 Ag 2.85
Ag: 0.6204 0.1250 0.2500  4 Ag 2.73-2.78, 2 Rh 2.84, 2 Cd 2.85
Ag: 0.3750 0.3796 0.7500  4 Ag 2.73-2.78, 2 Rh 2.84, 2 Cd 2.85
Ag: 0.8750 0.8704 0.7500  4 Ag 2.73-2.78, 2 Rh 2.84, 2 Cd 2.85

The electronic total energy is -25.72 eV for the cell shown. For the size of the total moment, the calculation gives 0.000 μB/atom. As for the energy of formation: 0.28 eV/atom.

***

> What is the energy of formation in the second record?

0.28 eV/atom

***

> Look up the electronic total energy of the second one.

-25.72 eV for the cell shown